# 1
This record from Alexandria via LeMat-Bulk describes Pm2PF3 after structural relaxation. The functional is PBE.

Cell: 14.9432 3.9015 7.9173 Å, 90.00 117.93 90.00°
Last column: nearest neighbours and their distance in Å.
Space group C2/m (No. 12)
One atom of each set of equivalent atoms:
1 Pm 0.0179 0.0000 0.2281 (multiplicity 4)  4 F 2.33-2.35
2 Pm 0.2144 0.5000 0.7145 (multiplicity 4)  4 F 2.39-2.43
3 P 0.1296 0.5000 0.0518 (multiplicity 4)  6 Pm 2.94-3.27
4 F 0.0587 0.5000 0.4137 (multiplicity 4)  3 Pm 2.34-2.43
5 F 0.1105 0.0000 0.6838 (multiplicity 4)  3 Pm 2.33-2.43, 1 F 2.57
6 F 0.1899 0.0000 0.4577 (multiplicity 4)  2 Pm 2.35-2.39, 3 F 2.52-2.57

Summary:
- magnetization (μB per formula unit) = 0.00
- uncorrected formation energy (meV per atom) = -3113.0

# 2
This record from Alexandria via LeMat-Bulk describes PmPRhF after structural relaxation. The functional is PBE.

Cell: 3.9043 3.9043 8.5073 Å, 90.00 90.00 90.00°
Last column: nearest neighbours and their distance in Å.
Space group P4/nmm (No. 129, origin choice 2)
One atom of each set of equivalent atoms:
1 Pm 0.2500 0.2500 0.1893 (multiplicity 2)  4 F 2.53
2 P 0.2500 0.2500 0.6644 (multiplicity 2)  4 Rh 2.40
3 Rh 0.2500 0.7500 0.5000 (multiplicity 2)  4 P 2.40
4 F 0.2500 0.7500 0.0000 (multiplicity 2)  4 Pm 2.53, 4 F 2.76

Summary:
- magnetization (μB per formula unit) = 0.00
- uncorrected formation energy (meV per atom) = -2092.3

# 3
This record from Alexandria via LeMat-Bulk describes Pr6P5F after structural relaxation. The functional is PBE.

Cell: 7.2014 12.4545 7.1946 Å, 90.00 109.59 90.00°
Last column: nearest neighbours and their distance in Å.
Space group C2/m (No. 12)
One atom of each set of equivalent atoms:
1 Pr 0.2448 0.0000 0.2559 (multiplicity 4)  5 P 2.88-2.94, 1 F 3.01
2 Pr 0.2469 0.1694 0.7483 (multiplicity 8)  5 P 2.89-2.95, 1 F 2.97
3 P 0.0000 0.0000 0.5000 (multiplicity 2)  6 Pr 2.88-2.95
4 P 0.0000 0.1667 0.0000 (multiplicity 4)  6 Pr 2.93-2.94
5 P 0.0000 0.3325 0.5000 (multiplicity 4)  6 Pr 2.89-2.95
6 F 0.0000 0.5000 0.0000 (multiplicity 2)  6 Pr 2.97-3.01

Summary:
- magnetization (μB per formula unit) = 0.00
- uncorrected formation energy (meV per atom) = -1720.9

# 4
This record from Alexandria via LeMat-Bulk describes Pr2PF3 after structural relaxation. The functional is PBE.

Cell: 15.2269 3.9668 8.0363 Å, 90.00 118.04 90.00°
Last column: nearest neighbours and their distance in Å.
Space group C2/m (No. 12)
One atom of each set of equivalent atoms:
1 Pr 0.0174 0.0000 0.2286 (multiplicity 4)  4 F 2.37-2.40
2 Pr 0.2152 0.5000 0.7151 (multiplicity 4)  4 F 2.44-2.48
3 P 0.1291 0.5000 0.0519 (multiplicity 4)  6 Pr 2.98-3.33
4 F 0.0588 0.5000 0.4151 (multiplicity 4)  3 Pr 2.39-2.47
5 F 0.1110 0.0000 0.6838 (multiplicity 4)  3 Pr 2.37-2.48, 1 F 2.59
6 F 0.1902 0.0000 0.4601 (multiplicity 4)  2 Pr 2.40-2.44, 3 F 2.56-2.59

Summary:
- magnetization (μB per formula unit) = 0.00
- uncorrected formation energy (meV per atom) = -3087.5

# 5
This record from Alexandria via LeMat-Bulk describes Pr4P3F after structural relaxation. The functional is PBE.

Cell: 4.1380 11.6028 8.2508 Å, 90.00 90.00 90.00°
Last column: nearest neighbours and their distance in Å.
Space group Amm2 (No. 38)
One atom of each set of equivalent atoms:
1 Pr 0.0000 0.0000 0.0000 (multiplicity 2)  4 P 2.87-2.90, 2 F 2.96
2 Pr 0.0000 0.0000 0.4820 (multiplicity 2)  4 P 2.87-2.90, 2 F 2.98
3 Pr 0.5000 0.2494 0.2414 (multiplicity 4)  5 P 2.89-2.92, 1 F 2.91
4 P 0.0000 0.2499 0.4914 (multiplicity 4)  6 Pr 2.90-2.92
5 P 0.5000 0.0000 0.2411 (multiplicity 2)  6 Pr 2.87-2.89
6 F 0.5000 0.0000 0.7427 (multiplicity 2)  6 Pr 2.91-2.98

Summary:
- magnetization (μB per formula unit) = 0.00
- uncorrected formation energy (meV per atom) = -1778.8

# 6
This record from Alexandria via LeMat-Bulk describes Pr3P2F after structural relaxation. The functional is PBE.

Cell: 4.1187 13.1396 10.7052 Å, 90.00 90.00 90.00°
Last column: nearest neighbours and their distance in Å.
Space group Cmcm (No. 63)
One atom of each set of equivalent atoms:
1 Pr 0.0000 0.0833 0.2500 (multiplicity 4)  2 F 2.54
2 Pr 0.0000 0.3552 0.0719 (multiplicity 8)  1 F 2.43
3 P 0.0000 0.0000 0.0000 (multiplicity 4)  6 Pr 2.89-2.91
4 P 0.0000 0.2567 0.7500 (multiplicity 4)  6 Pr 2.94-3.17
5 F 0.0000 0.4699 0.2500 (multiplicity 4)  4 Pr 2.43-2.54

Summary:
- magnetization (μB per formula unit) = 0.00
- uncorrected formation energy (meV per atom) = -1830.4

# 7
This record from Alexandria via LeMat-Bulk describes PrPRuF after structural relaxation. The functional is PBE.

Cell: 4.0166 4.0166 8.4001 Å, 90.00 90.00 90.00°
Last column: nearest neighbours and their distance in Å.
Space group P4/nmm (No. 129, origin choice 2)
One atom of each set of equivalent atoms:
1 Pr 0.2500 0.2500 0.1909 (multiplicity 2)  4 F 2.57
2 P 0.2500 0.2500 0.6461 (multiplicity 2)  4 Ru 2.35
3 Ru 0.2500 0.7500 0.5000 (multiplicity 2)  4 P 2.35
4 F 0.2500 0.7500 0.0000 (multiplicity 2)  4 Pr 2.57, 4 F 2.84

Summary:
- magnetization (μB per formula unit) = 0.00
- uncorrected formation energy (meV per atom) = -2047.3

# 8
This record from Alexandria via LeMat-Bulk describes P2PtF after structural relaxation. The functional is PBE.

Cell: 5.2916 5.2916 11.1646 Å, 90.00 90.00 90.00°
Last column: nearest neighbours and their distance in Å.
Space group I-42d (No. 122)
One atom of each set of equivalent atoms:
1 P 0.2267 0.2500 0.1250 (multiplicity 8)  2 Pt 2.27, 2 F 2.41
2 Pt 0.0000 0.0000 0.0000 (multiplicity 4)  4 P 2.27
3 F 0.0000 0.0000 0.5000 (multiplicity 4)  4 P 2.41

Summary:
- distance to the lowest polymorph of the same formula (eV/atom) = 0.1538
- magnetization (μB per formula unit) = 0.00
- uncorrected formation energy (meV per atom) = -230.8

# 9
This record from Alexandria via LeMat-Bulk describes P3PtF after structural relaxation. The functional is PBE.

Cell: 4.2762 4.2762 4.2762 Å, 90.00 90.00 90.00°
Last column: nearest neighbours and their distance in Å.
Space group Pm-3m (No. 221)
One atom of each set of equivalent atoms:
1 P 0.0000 0.0000 0.5000 (multiplicity 3)  2 F 2.14
2 Pt 0.5000 0.5000 0.5000 (multiplicity 1)  12 P 3.02
3 F 0.0000 0.0000 0.0000 (multiplicity 1)  6 P 2.14

Summary:
- distance to the lowest polymorph of the same formula (eV/atom) = 0.0855
- magnetization (μB per formula unit) = 0.00
- uncorrected formation energy (meV per atom) = 823.1

# 10
This record from Alexandria via LeMat-Bulk describes PPtF3 after structural relaxation. The functional is PBE.

Cell: 4.2930 4.2930 4.2930 Å, 90.00 90.00 90.00°
Last column: nearest neighbours and their distance in Å.
Space group Pm-3m (No. 221)
One atom of each set of equivalent atoms:
1 P 0.0000 0.0000 0.0000 (multiplicity 1)  12 F 3.04
2 Pt 0.5000 0.5000 0.5000 (multiplicity 1)  6 F 2.15
3 F 0.0000 0.5000 0.5000 (multiplicity 3)  2 Pt 2.15

Summary:
- distance to the lowest polymorph of the same formula (eV/atom) = 0.1778
- magnetization (μB per formula unit) = 2.35
- uncorrected formation energy (meV per atom) = -128.6

# 11
This record from Alexandria via LeMat-Bulk describes P2PtF after structural relaxation. The functional is PBE.

Cell: 5.9188 5.9188 5.9188 Å, 90.00 90.00 90.00°
Last column: nearest neighbours and their distance in Å.
Space group Fm-3m (No. 225)
One atom of each set of equivalent atoms:
1 P 0.2500 0.2500 0.2500 (multiplicity 8)  4 F 2.56, 4 Pt 2.56
2 Pt 0.0000 0.0000 0.0000 (multiplicity 4)  8 P 2.56
3 F 0.0000 0.0000 0.5000 (multiplicity 4)  8 P 2.56

Summary:
- distance to the lowest polymorph of the same formula (eV/atom) = 0.0000
- magnetization (μB per formula unit) = 0.00
- uncorrected formation energy (meV per atom) = -384.6

# 12
This record from Alexandria via LeMat-Bulk describes P3PtF after structural relaxation. The functional is PBE.

Cell: 4.7189 4.7189 4.7189 Å, 90.00 90.00 90.00°
Last column: nearest neighbours and their distance in Å.
Space group Pm-3m (No. 221)
One atom of each set of equivalent atoms:
1 P 0.0000 0.0000 0.5000 (multiplicity 3)  2 Pt 2.36
2 Pt 0.0000 0.0000 0.0000 (multiplicity 1)  6 P 2.36
3 F 0.5000 0.5000 0.5000 (multiplicity 1)  12 P 3.34

Summary:
- distance to the lowest polymorph of the same formula (eV/atom) = 0.0000
- magnetization (μB per formula unit) = 1.92
- uncorrected formation energy (meV per atom) = 737.6

# 13
This record from Alexandria via LeMat-Bulk describes PPt2F after structural relaxation. The functional is PBE.

Cell: 5.9577 5.9577 5.9577 Å, 90.00 90.00 90.00°
Last column: nearest neighbours and their distance in Å.
Space group Fm-3m (No. 225)
One atom of each set of equivalent atoms:
1 P 0.0000 0.0000 0.0000 (multiplicity 4)  8 Pt 2.58
2 Pt 0.2500 0.2500 0.2500 (multiplicity 8)  4 F 2.58, 4 P 2.58
3 F 0.0000 0.0000 0.5000 (multiplicity 4)  8 Pt 2.58

Summary:
- distance to the lowest polymorph of the same formula (eV/atom) = 0.1340
- magnetization (μB per formula unit) = 0.00
- uncorrected formation energy (meV per atom) = -327.7

# 14
This record from Alexandria via LeMat-Bulk describes PPt2F after structural relaxation. The functional is PBE.

Cell: 6.1088 6.1088 6.9503 Å, 90.00 90.00 90.00°
Last column: nearest neighbours and their distance in Å.
Space group I-42d (No. 122)
One atom of each set of equivalent atoms:
1 P 0.0000 0.0000 0.0000 (multiplicity 4)  4 Pt 2.22
2 Pt 0.2221 0.2500 0.1250 (multiplicity 8)  2 P 2.22, 2 F 2.44
3 F 0.0000 0.0000 0.5000 (multiplicity 4)  4 Pt 2.44

Summary:
- distance to the lowest polymorph of the same formula (eV/atom) = 0.0000
- magnetization (μB per formula unit) = 0.00
- uncorrected formation energy (meV per atom) = -461.7

# 15
This record from Alexandria via LeMat-Bulk describes PPtF3 after structural relaxation. The functional is PBE.

Cell: 4.1016 4.1016 4.1016 Å, 90.00 90.00 90.00°
Last column: nearest neighbours and their distance in Å.
Space group Pm-3m (No. 221)
One atom of each set of equivalent atoms:
1 P 0.0000 0.0000 0.0000 (multiplicity 1)  6 F 2.05
2 Pt 0.5000 0.5000 0.5000 (multiplicity 1)  12 F 2.90
3 F 0.0000 0.0000 0.5000 (multiplicity 3)  2 P 2.05

Summary:
- distance to the lowest polymorph of the same formula (eV/atom) = 0.0000
- magnetization (μB per formula unit) = 0.00
- uncorrected formation energy (meV per atom) = -306.4

# 16
This record from Alexandria via LeMat-Bulk describes RbP2PtF after structural relaxation. The functional is PBE.

Cell: 5.2596 5.2596 4.3837 Å, 90.00 90.00 90.00°
Last column: nearest neighbours and their distance in Å.
Space group P4/mmm (No. 123)
One atom of each set of equivalent atoms:
1 Rb 0.0000 0.0000 0.0000 (multiplicity 1)  2 F 2.19
2 P 0.0000 0.5000 0.0000 (multiplicity 2)  2 Rb 2.63
3 Pt 0.5000 0.5000 0.5000 (multiplicity 1)  8 P 3.42, 4 F 3.72
4 F 0.0000 0.0000 0.5000 (multiplicity 1)  2 Rb 2.19

Summary:
- magnetization (μB per formula unit) = 0.02
- uncorrected formation energy (meV per atom) = 1410.8

# 17
This record from Alexandria via LeMat-Bulk describes P2PtSF after structural relaxation. The functional is PBE.

Cell: 4.0142 4.0142 5.0073 Å, 90.00 90.00 90.00°
Last column: nearest neighbours and their distance in Å.
Space group P4/mmm (No. 123)
One atom of each set of equivalent atoms:
1 P 0.0000 0.5000 0.0000 (multiplicity 2)  2 F 2.01
2 Pt 0.0000 0.0000 0.5000 (multiplicity 1)  4 S 2.84
3 S 0.5000 0.5000 0.5000 (multiplicity 1)  2 F 2.50
4 F 0.5000 0.5000 0.0000 (multiplicity 1)  4 P 2.01

Summary:
- distance to the lowest polymorph of the same formula (eV/atom) = 0.2161
- magnetization (μB per formula unit) = 0.00
- uncorrected formation energy (meV per atom) = 878.2

# 18
This record from Alexandria via LeMat-Bulk describes P2PtSF after structural relaxation. The functional is PBE.

Cell: 4.6207 4.6207 4.9576 Å, 90.00 90.00 90.00°
Last column: nearest neighbours and their distance in Å.
Space group P4/mmm (No. 123)
One atom of each set of equivalent atoms:
1 P 0.0000 0.5000 0.0000 (multiplicity 2)  2 Pt 2.31
2 Pt 0.0000 0.0000 0.0000 (multiplicity 1)  4 P 2.31, 2 S 2.48
3 S 0.0000 0.0000 0.5000 (multiplicity 1)  2 Pt 2.48
4 F 0.5000 0.5000 0.5000 (multiplicity 1)  4 S 3.27, 8 P 3.39

Summary:
- distance to the lowest polymorph of the same formula (eV/atom) = 0.0000
- magnetization (μB per formula unit) = 1.35
- uncorrected formation energy (meV per atom) = 662.1

# 19
This record from Alexandria via LeMat-Bulk describes PPtS2F after structural relaxation. The functional is PBE.

Cell: 4.8697 4.8697 4.5337 Å, 90.00 90.00 90.00°
Last column: nearest neighbours and their distance in Å.
Space group P4/mmm (No. 123)
One atom of each set of equivalent atoms:
1 P 0.0000 0.0000 0.0000 (multiplicity 1)  2 Pt 2.27
2 Pt 0.0000 0.0000 0.5000 (multiplicity 1)  2 P 2.27, 4 S 2.43
3 S 0.0000 0.5000 0.5000 (multiplicity 2)  2 Pt 2.43
4 F 0.5000 0.5000 0.0000 (multiplicity 1)  8 S 3.33, 4 P 3.44

Summary:
- distance to the lowest polymorph of the same formula (eV/atom) = 0.0000
- magnetization (μB per formula unit) = 2.88
- uncorrected formation energy (meV per atom) = 629.8

# 20
This record from Alexandria via LeMat-Bulk describes PPtS2F after structural relaxation. The functional is PBE.

Cell: 4.8740 4.8740 3.5638 Å, 90.00 90.00 90.00°
Last column: nearest neighbours and their distance in Å.
Space group P4/mmm (No. 123)
One atom of each set of equivalent atoms:
1 P 0.0000 0.0000 0.0000 (multiplicity 1)  2 F 1.78
2 Pt 0.5000 0.5000 0.0000 (multiplicity 1)  8 S 3.02
3 S 0.0000 0.5000 0.5000 (multiplicity 2)  2 F 2.44
4 F 0.0000 0.0000 0.5000 (multiplicity 1)  2 P 1.78

Summary:
- distance to the lowest polymorph of the same formula (eV/atom) = 0.3442
- magnetization (μB per formula unit) = 0.00
- uncorrected formation energy (meV per atom) = 974.1